<1>
## CaVSb2 (PBE)

Data for CaVSb2 after structural relaxation.

The space group is R-3m (No. 166, hexagonal axes) and the conventional cell measures 3.5348, 3.5348 and 30.1993 Å, with angles of 90.00, 90.00 and 120.00 degrees. Symmetry generates all atoms from Ca at (0.0000, 0.0000, 0.0000), V at (0.0000, 0.0000, 0.5000) and Sb at (0.0000, 0.0000, 0.1057).

The calculation puts the size of the total moment at 2.7 μB per cell.

<2>
## CaVSb2 (PBE)

Data for CaVSb2 after structural relaxation.

The space group is Fm-3m (No. 225) and the conventional cell measures 7.244, 7.244 and 7.244 Å, with angles of 90.00, 90.00 and 90.00 degrees. Symmetry generates all atoms from Ca at (0.000, 0.000, 0.000), V at (0.000, 0.000, 0.500) and Sb at (0.250, 0.250, 0.250).

The calculation puts the size of the total moment at 10.0 μB per cell.

So which one is most stable? That would be <2>, about 222 meV/atom below the next structure.

<1>
## CaVSb3 (PBE)

Data for CaVSb3 after structural relaxation.

The space group is Pbcm (No. 57) and the conventional cell measures 13.419, 6.326 and 5.936 Å, with angles of 90.00, 90.00 and 90.00 degrees. Symmetry generates all atoms from Ca at (0.189, 0.003, 0.250), V at (0.406, 0.750, 0.000), Sb at (0.002, 0.750, 0.000), Sb at (0.288, 0.004, 0.750) and Sb at (0.434, 0.107, 0.250).

The calculation puts the size of the total moment at 0.0 μB per cell.

<2>
## CaVSb3 (PBE)

Data for CaVSb3 after structural relaxation.

The space group is Pm-3m (No. 221) and the conventional cell measures 5.210, 5.210 and 5.210 Å, with angles of 90.00, 90.00 and 90.00 degrees. Symmetry generates all atoms from Ca at (0.000, 0.000, 0.000), V at (0.500, 0.500, 0.500) and Sb at (0.000, 0.500, 0.500).

The calculation puts the size of the total moment at 0.0 μB per cell.

So which one is most stable? That would be <1>, about 334 meV/atom below the next structure.

<1>
## CaSb2W (PBE)

Data for CaSb2W after structural relaxation.

The space group is I-4m2 (No. 119) and the conventional cell measures 4.288, 4.288 and 10.116 Å, with angles of 90.00, 90.00 and 90.00 degrees. Symmetry generates all atoms from Ca at (0.000, 0.000, 0.000), Sb at (0.000, 0.000, 0.500), Sb at (0.000, 0.500, 0.750) and W at (0.000, 0.500, 0.250).

The calculation puts the size of the total moment at 4.7 μB per cell.

<2>
## CaSb2W (PBE)

Data for CaSb2W after structural relaxation.

The space group is Cmmm (No. 65) and the conventional cell measures 6.496, 7.600 and 3.609 Å, with angles of 90.00, 90.00 and 90.00 degrees. Symmetry generates all atoms from Ca at (0.000, 0.000, 0.000), Sb at (0.250, 0.250, 0.500) and W at (0.000, 0.500, 0.000).

The calculation puts the size of the total moment at 0.0 μB per cell.

So which one is most stable? That would be <2>, about 62 meV/atom below the next structure.

<1>
## CaSb2W (PBE)

Data for CaSb2W after structural relaxation.

The space group is P4/mmm (No. 123) and the conventional cell measures 4.949, 4.949 and 3.641 Å, with angles of 90.00, 90.00 and 90.00 degrees. Symmetry generates all atoms from Ca at (0.000, 0.000, 0.000), Sb at (0.000, 0.500, 0.500) and W at (0.500, 0.500, 0.000).

The calculation puts the size of the total moment at 0.0 μB per cell.

<2>
## CaSb2W (PBE)

Data for CaSb2W after structural relaxation.

The space group is P4/mmm (No. 123) and the conventional cell measures 3.431, 3.431 and 7.770 Å, with angles of 90.00, 90.00 and 90.00 degrees. Symmetry generates all atoms from Ca at (0.000, 0.000, 0.000), Sb at (0.500, 0.500, 0.295) and W at (0.000, 0.000, 0.500).

The calculation puts the size of the total moment at 0.0 μB per cell.

So which one is most stable? That would be <2>, about 395 meV/atom below the next structure.

<1>
## CaSbW3 (PBE)

Data for CaSbW3 after structural relaxation.

The space group is Pm-3m (No. 221) and the conventional cell measures 4.719, 4.719 and 4.719 Å, with angles of 90.00, 90.00 and 90.00 degrees. Symmetry generates all atoms from Ca at (0.000, 0.000, 0.000), Sb at (0.500, 0.500, 0.500) and W at (0.000, 0.000, 0.500).

The calculation puts the size of the total moment at 0.0 μB per cell.

<2>
## CaSbW3 (PBE)

Data for CaSbW3 after structural relaxation.

The space group is Pm-3m (No. 221) and the conventional cell measures 4.980, 4.980 and 4.980 Å, with angles of 90.00, 90.00 and 90.00 degrees. Symmetry generates all atoms from Ca at (0.000, 0.000, 0.000), Sb at (0.500, 0.500, 0.500) and W at (0.000, 0.500, 0.500).

The calculation puts the size of the total moment at 0.0 μB per cell.

So which one is most stable? That would be <2>, about 995 meV/atom below the next structure.

<1>
## Ca2YSb (PBE)

Data for Ca2YSb after structural relaxation.

The space group is Fm-3m (No. 225) and the conventional cell measures 7.901, 7.901 and 7.901 Å, with angles of 90.00, 90.00 and 90.00 degrees. Symmetry generates all atoms from Ca at (0.250, 0.250, 0.250), Y at (0.000, 0.000, 0.000) and Sb at (0.000, 0.000, 0.500).

The calculation puts the size of the total moment at 1.6 μB per cell.

<2>
## Ca2YSb (PBE)

Data for Ca2YSb after structural relaxation.

The space group is I4/mmm (No. 139) and the conventional cell measures 4.640, 4.640 and 11.497 Å, with angles of 90.00, 90.00 and 90.00 degrees. Symmetry generates all atoms from Ca at (0.000, 0.500, 0.250), Y at (0.000, 0.000, 0.000) and Sb at (0.000, 0.000, 0.500).

The calculation puts the size of the total moment at 0.0 μB per cell.

So which one is most stable? That would be <2>, about 300 meV/atom below the next structure.